VASP calculation (PBE-GGA) on an optimized crystal structure of CaAcPr6Sm2.

```
20
Lattice="9.6292 -2.1784 -2.2607 0.8901 8.9249 -2.1947 0.8901 -2.5240 8.8375" Properties=species:S:1:pos:R:3 pbc="T T T"
Ca 3.2974 1.5541 3.8179
Ca 8.1120 2.6685 0.5642
Ac 3.2974 8.0870 -2.4772
Ac 8.1120 -3.8644 6.8593
Pr 1.2841 -0.9493 6.3083
Pr 5.3106 -1.0274 6.2273
Pr 10.1252 5.1719 -1.9262
Pr 6.0987 5.2499 -1.8452
Pr 4.3674 6.8676 0.9918
Pr 2.2273 4.5751 -1.3872
Pr 7.0419 -2.6450 3.3902
Pr 9.1820 -0.3525 5.7693
Pr 2.2386 4.8276 2.5746
Pr 4.3562 2.9179 0.5927
Pr 9.1708 -0.6050 1.8075
Pr 7.0531 1.3047 3.7894
Sm 5.7205 4.4017 3.3217
Sm 0.8742 2.1554 0.9906
Sm 5.6888 -0.1791 1.0603
Sm 10.5351 2.0671 3.3914
```

formation energy from the elements	0.12	eV per atom
calculated volume	37.53	Å³/atom
space group	C2/c (15)

---

VASP calculation (PBE-GGA) on an optimized crystal structure of CaAcPrSm.

```
4
Lattice="-5.9468 -0.3142 0.9366 -2.1225 -1.2700 5.4975 -2.7739 4.2740 3.2216" Properties=species:S:1:pos:R:3 pbc="T T T"
Pr -5.4216 1.3449 4.8278
Ac -8.1324 2.0174 7.2417
Ca -2.7108 0.6725 2.4139
Sm 0.0000 0.0000 0.0000
```

formation energy from the elements	0.14	eV per atom
calculated volume	38.73	Å³/atom
space group	F-43m (216)
energy above the most stable polymorph in this dataset	91	meV/atom